# Nb2Tc4W (PBE, optimized geometry)
data_Nb2Tc4W
_chemical_formula_sum 'Nb4 Tc8 W2'
_space_group_name_H-M_alt 'I 4/m m m'
_space_group_IT_number 139
_space_group_name_Hall '-I 4 2'
_cell_length_a 4.638
_cell_length_b 4.638
_cell_length_c 12.863
_cell_angle_alpha 90.00
_cell_angle_beta 90.00
_cell_angle_gamma 90.00
loop_
_atom_site_label
_atom_site_type_symbol
_atom_site_fract_x
_atom_site_fract_y
_atom_site_fract_z
Nb1 Nb 0.000 0.000 0.131
Tc1 Tc 0.000 0.000 0.309
Tc2 Tc 0.000 0.500 0.000
W1 W 0.000 0.000 0.500
# Density of states at the Fermi level: 0.947 states/eV per atom
# Crystal system: tetragonal
# Excess energy over the best structure of this formula in the dataset: 1009 meV/atom
# ΔH_f (0 K): 1.289 eV per atom
# Total moment: 0.0331 μB/atom

---

# Nb4TcW (PBE, optimized geometry)
data_Nb4TcW
_chemical_formula_sum 'Nb4 Tc1 W1'
_space_group_name_H-M_alt 'P 4/m m m'
_space_group_IT_number 123
_space_group_name_Hall '-P 4 2'
_cell_length_a 3.237
_cell_length_b 3.237
_cell_length_c 9.812
_cell_angle_alpha 90.00
_cell_angle_beta 90.00
_cell_angle_gamma 90.00
loop_
_atom_site_label
_atom_site_type_symbol
_atom_site_fract_x
_atom_site_fract_y
_atom_site_fract_z
Nb1 Nb 0.000 0.000 0.160
Nb2 Nb 0.500 0.500 0.336
Tc1 Tc 0.500 0.500 0.000
W1 W 0.000 0.000 0.500
# Density of states at the Fermi level: 0.665 states/eV per atom
# Crystal system: tetragonal
# Excess energy over the best structure of this formula in the dataset: 0 meV/atom
# ΔH_f (0 K): -0.170 eV per atom
# Total moment: 0.0000 μB/atom

---

# Nb7Tc2W2 (PBE, optimized geometry)
data_Nb7Tc2W2
_chemical_formula_sum 'Nb14 Tc4 W4'
_space_group_name_H-M_alt 'I m m m'
_space_group_IT_number 71
_space_group_name_Hall '-I 2 2'
_cell_length_a 4.547
_cell_length_b 9.043
_cell_length_c 9.640
_cell_angle_alpha 90.00
_cell_angle_beta 90.00
_cell_angle_gamma 90.00
loop_
_atom_site_label
_atom_site_type_symbol
_atom_site_fract_x
_atom_site_fract_y
_atom_site_fract_z
Nb1 Nb 0.000 0.000 0.000
Nb2 Nb 0.000 0.000 0.341
Nb3 Nb 0.000 0.263 0.164
Tc1 Tc 0.000 0.500 0.336
W1 W 0.000 0.256 0.500
# Density of states at the Fermi level: 0.816 states/eV per atom
# Crystal system: orthorhombic
# ΔH_f (0 K): 0.065 eV per atom
# Total moment: 0.0000 μB/atom

---

# Nb6TcW3 (PBE, optimized geometry)
data_Nb6TcW3
_chemical_formula_sum 'Nb36 Tc6 W18'
_space_group_name_H-M_alt 'R -3'
_space_group_IT_number 148
_space_group_name_Hall '-R 3'
_cell_length_a 11.9104
_cell_length_b 11.9104
_cell_length_c 8.7085
_cell_angle_alpha 90.00
_cell_angle_beta 90.00
_cell_angle_gamma 120.00
loop_
_atom_site_label
_atom_site_type_symbol
_atom_site_fract_x
_atom_site_fract_y
_atom_site_fract_z
Nb1 Nb 0.0485 0.1741 0.2525
Nb2 Nb 0.0708 0.4788 0.6084
Tc1 Tc 0.0000 0.0000 0.0000
Tc2 Tc 0.0000 0.0000 0.5000
W1 W 0.0353 0.2425 0.5543
# Density of states at the Fermi level: 0.970 states/eV per atom
# Crystal system: trigonal
# Excess energy over the best structure of this formula in the dataset: 346 meV/atom
# ΔH_f (0 K): 0.231 eV per atom
# Total moment: 0.0000 μB/atom

---

# NbZnTc2W (PBE, optimized geometry)
data_NbZnTc2W
_chemical_formula_sum 'Nb1 Zn1 Tc2 W1'
_space_group_name_H-M_alt 'P 4/m m m'
_space_group_IT_number 123
_space_group_name_Hall '-P 4 2'
_cell_length_a 4.442
_cell_length_b 4.442
_cell_length_c 4.564
_cell_angle_alpha 90.00
_cell_angle_beta 90.00
_cell_angle_gamma 90.00
loop_
_atom_site_label
_atom_site_type_symbol
_atom_site_fract_x
_atom_site_fract_y
_atom_site_fract_z
Nb1 Nb 0.000 0.000 0.000
Zn1 Zn 0.000 0.000 0.500
Tc1 Tc 0.000 0.500 0.500
W1 W 0.500 0.500 0.000
# Density of states at the Fermi level: 1.483 states/eV per atom
# Crystal system: tetragonal
# ΔH_f (0 K): 1.622 eV per atom
# Total moment: 0.0000 μB/atom

---

# ZrNbTcW (PBE, optimized geometry)
data_ZrNbTcW
_chemical_formula_sum 'Zr4 Nb4 Tc4 W4'
_space_group_name_H-M_alt 'F -4 3 m'
_space_group_IT_number 216
_space_group_name_Hall 'F -4 2 3'
_cell_length_a 6.539
_cell_length_b 6.539
_cell_length_c 6.539
_cell_angle_alpha 90.00
_cell_angle_beta 90.00
_cell_angle_gamma 90.00
loop_
_atom_site_label
_atom_site_type_symbol
_atom_site_fract_x
_atom_site_fract_y
_atom_site_fract_z
Zr1 Zr 0.000 0.000 0.000
Nb1 Nb 0.000 0.000 0.500
Tc1 Tc 0.250 0.250 0.750
W1 W 0.250 0.250 0.250
# Density of states at the Fermi level: 0.730 states/eV per atom
# Crystal system: cubic
# ΔH_f (0 K): -0.107 eV per atom
# Total moment: 0.0000 μB/atom

---

# YNb3Tc (PBE, optimized geometry)
data_YNb3Tc
_chemical_formula_sum 'Y1 Nb3 Tc1'
_space_group_name_H-M_alt 'P m -3 m'
_space_group_IT_number 221
_space_group_name_Hall '-P 4 2 3'
_cell_length_a 4.887
_cell_length_b 4.887
_cell_length_c 4.887
_cell_angle_alpha 90.00
_cell_angle_beta 90.00
_cell_angle_gamma 90.00
loop_
_atom_site_label
_atom_site_type_symbol
_atom_site_fract_x
_atom_site_fract_y
_atom_site_fract_z
Y1 Y 0.000 0.000 0.000
Nb1 Nb 0.000 0.500 0.500
Tc1 Tc 0.500 0.500 0.500
# Density of states at the Fermi level: 1.878 states/eV per atom
# Crystal system: cubic
# Excess energy over the best structure of this formula in the dataset: 0 meV/atom
# ΔH_f (0 K): 0.689 eV per atom
# Total moment: 0.0000 μB/atom

---

# YNb3Tc (PBE, optimized geometry)
data_YNb3Tc
_chemical_formula_sum 'Y1 Nb3 Tc1'
_space_group_name_H-M_alt 'P m -3 m'
_space_group_IT_number 221
_space_group_name_Hall '-P 4 2 3'
_cell_length_a 4.820
_cell_length_b 4.820
_cell_length_c 4.820
_cell_angle_alpha 90.00
_cell_angle_beta 90.00
_cell_angle_gamma 90.00
loop_
_atom_site_label
_atom_site_type_symbol
_atom_site_fract_x
_atom_site_fract_y
_atom_site_fract_z
Y1 Y 0.000 0.000 0.000
Nb1 Nb 0.000 0.000 0.500
Tc1 Tc 0.500 0.500 0.500
# Density of states at the Fermi level: 2.317 states/eV per atom
# Crystal system: cubic
# Excess energy over the best structure of this formula in the dataset: 1711 meV/atom
# ΔH_f (0 K): 2.400 eV per atom
# Total moment: 0.0001 μB/atom

---

# YNbTc3 (PBE, optimized geometry)
data_YNbTc3
_chemical_formula_sum 'Y1 Nb1 Tc3'
_space_group_name_H-M_alt 'P m -3 m'
_space_group_IT_number 221
_space_group_name_Hall '-P 4 2 3'
_cell_length_a 4.773
_cell_length_b 4.773
_cell_length_c 4.773
_cell_angle_alpha 90.00
_cell_angle_beta 90.00
_cell_angle_gamma 90.00
loop_
_atom_site_label
_atom_site_type_symbol
_atom_site_fract_x
_atom_site_fract_y
_atom_site_fract_z
Y1 Y 0.000 0.000 0.000
Nb1 Nb 0.500 0.500 0.500
Tc1 Tc 0.000 0.500 0.500
# Density of states at the Fermi level: 1.381 states/eV per atom
# Crystal system: cubic
# Excess energy over the best structure of this formula in the dataset: 0 meV/atom
# ΔH_f (0 K): 1.032 eV per atom
# Total moment: 0.3349 μB/atom

---

# YNb2Tc2 (PBE, optimized geometry)
data_YNb2Tc2
_chemical_formula_sum 'Y2 Nb4 Tc4'
_space_group_name_H-M_alt 'P 4/m b m'
_space_group_IT_number 127
_space_group_name_Hall '-P 4 2ab'
_cell_length_a 7.880
_cell_length_b 7.880
_cell_length_c 3.019
_cell_angle_alpha 90.00
_cell_angle_beta 90.00
_cell_angle_gamma 90.00
loop_
_atom_site_label
_atom_site_type_symbol
_atom_site_fract_x
_atom_site_fract_y
_atom_site_fract_z
Y1 Y 0.000 0.000 0.000
Nb1 Nb 0.142 0.358 0.000
Tc1 Tc 0.151 0.651 0.500
# Density of states at the Fermi level: 1.172 states/eV per atom
# Crystal system: tetragonal
# Excess energy over the best structure of this formula in the dataset: 128 meV/atom
# ΔH_f (0 K): 0.118 eV per atom
# Total moment: 0.0000 μB/atom

---

# Y2NbTc (PBE, optimized geometry)
data_Y2NbTc
_chemical_formula_sum 'Y8 Nb4 Tc4'
_space_group_name_H-M_alt 'F m -3 m'
_space_group_IT_number 225
_space_group_name_Hall '-F 4 2 3'
_cell_length_a 7.093
_cell_length_b 7.093
_cell_length_c 7.093
_cell_angle_alpha 90.00
_cell_angle_beta 90.00
_cell_angle_gamma 90.00
loop_
_atom_site_label
_atom_site_type_symbol
_atom_site_fract_x
_atom_site_fract_y
_atom_site_fract_z
Y1 Y 0.250 0.250 0.250
Nb1 Nb 0.000 0.000 0.000
Tc1 Tc 0.000 0.000 0.500
# Density of states at the Fermi level: 1.477 states/eV per atom
# Crystal system: cubic
# Excess energy over the best structure of this formula in the dataset: 0 meV/atom
# ΔH_f (0 K): 0.409 eV per atom
# Total moment: 0.6922 μB/atom

---

# Y2NbTc (PBE, optimized geometry)
data_Y2NbTc
_chemical_formula_sum 'Y8 Nb4 Tc4'
_space_group_name_H-M_alt 'I -4 2 d'
_space_group_IT_number 122
_space_group_name_Hall 'I -4 2bw'
_cell_length_a 8.021
_cell_length_b 8.021
_cell_length_c 5.851
_cell_angle_alpha 90.00
_cell_angle_beta 90.00
_cell_angle_gamma 90.00
loop_
_atom_site_label
_atom_site_type_symbol
_atom_site_fract_x
_atom_site_fract_y
_atom_site_fract_z
Y1 Y 0.208 0.250 0.125
Nb1 Nb 0.000 0.000 0.500
Tc1 Tc 0.000 0.000 0.000
# Density of states at the Fermi level: 1.983 states/eV per atom
# Crystal system: tetragonal
# Excess energy over the best structure of this formula in the dataset: 341 meV/atom
# ΔH_f (0 K): 0.749 eV per atom
# Total moment: 0.0000 μB/atom

---

# YNb2Tc2 (PBE, optimized geometry)
data_YNb2Tc2
_chemical_formula_sum 'Y2 Nb4 Tc4'
_space_group_name_H-M_alt 'P 4/m b m'
_space_group_IT_number 127
_space_group_name_Hall '-P 4 2ab'
_cell_length_a 7.783
_cell_length_b 7.783
_cell_length_c 3.134
_cell_angle_alpha 90.00
_cell_angle_beta 90.00
_cell_angle_gamma 90.00
loop_
_atom_site_label
_atom_site_type_symbol
_atom_site_fract_x
_atom_site_fract_y
_atom_site_fract_z
Y1 Y 0.000 0.000 0.000
Nb1 Nb 0.145 0.355 0.500
Tc1 Tc 0.143 0.643 0.000
# Density of states at the Fermi level: 1.024 states/eV per atom
# Crystal system: tetragonal
# Excess energy over the best structure of this formula in the dataset: 87 meV/atom
# ΔH_f (0 K): 0.077 eV per atom
# Total moment: 0.0000 μB/atom